# 1
# TcMo2P | Alexandria via LeMat-Bulk | GGA-PBE | relaxed
data_TcMo2P
_symmetry_space_group_name_H-M 'P 1'
_symmetry_Int_Tables_number 1
_cell_length_a 5.028
_cell_length_b 5.028
_cell_length_c 5.028
_cell_angle_alpha 137.34
_cell_angle_beta 137.34
_cell_angle_gamma 61.91
loop_
_symmetry_equiv_pos_as_xyz
'x,y,z'
loop_
_atom_site_label
_atom_site_fract_x
_atom_site_fract_y
_atom_site_fract_z
Tc1 0.000 0.000 0.000
Mo1 0.750 0.250 0.500
Mo2 0.250 0.750 0.500
P1 0.500 0.500 0.000
# * total moment: 0.0 μB per formula unit
# * energy of formation: -0.01 eV/atom
# * symmetry: No. 139

# 2
# Sr2CuRh2 | Alexandria via LeMat-Bulk | GGA-PBE | relaxed
data_Sr2CuRh2
_symmetry_space_group_name_H-M 'P 1'
_symmetry_Int_Tables_number 1
_cell_length_a 6.963
_cell_length_b 6.963
_cell_length_c 4.598
_cell_angle_alpha 90.00
_cell_angle_beta 90.00
_cell_angle_gamma 90.00
loop_
_symmetry_equiv_pos_as_xyz
'x,y,z'
loop_
_atom_site_label
_atom_site_fract_x
_atom_site_fract_y
_atom_site_fract_z
Sr1 0.177 0.677 0.500
Sr2 0.677 0.823 0.500
Sr3 0.823 0.323 0.500
Sr4 0.323 0.177 0.500
Rh1 0.366 0.866 0.000
Rh2 0.866 0.634 0.000
Rh3 0.634 0.134 0.000
Rh4 0.134 0.366 0.000
Cu1 0.000 0.000 0.000
Cu2 0.500 0.500 0.000
# * total moment: 0.0 μB per formula unit
# * energy of formation: -0.08 eV/atom
# * symmetry: No. 127
# * offset from the most stable computed form: 135 meV/atom

# 3
# CaTmGa2Au2 | Alexandria via LeMat-Bulk | GGA-PBE | relaxed
data_CaTmGa2Au2
_symmetry_space_group_name_H-M 'P 1'
_symmetry_Int_Tables_number 1
_cell_length_a 4.563
_cell_length_b 4.563
_cell_length_c 7.125
_cell_angle_alpha 90.00
_cell_angle_beta 90.00
_cell_angle_gamma 120.00
loop_
_symmetry_equiv_pos_as_xyz
'x,y,z'
loop_
_atom_site_label
_atom_site_fract_x
_atom_site_fract_y
_atom_site_fract_z
Ca1 0.000 0.000 0.000
Tm1 0.000 0.000 0.500
Ga1 0.667 0.333 0.275
Ga2 0.333 0.667 0.725
Au1 0.667 0.333 0.719
Au2 0.333 0.667 0.281
# * total moment: 0.0 μB per formula unit
# * energy of formation: -0.75 eV/atom
# * symmetry: No. 164

Which of these has the highest energy of formation? TcMo2P